Arrangement P

Computed, not measured: Tm4ZnCo after structural relaxation at the PBE level of DFT.

It has space group F-43m (No. 216), with a = 13.026 Å, b = 13.026 Å, c = 13.026 Å, α = 90.00°, β = 90.00° and γ = 90.00°. The distinct sites, in fractional coordinates, are Tm at (0.000, 0.000, 0.188), Tm at (0.059, 0.250, 0.250), Tm at (0.100, 0.100, 0.600), Zn at (0.173, 0.173, 0.827) and Co at (0.108, 0.108, 0.392).

The density of states at the Fermi level is 57.09 states/eV per cell.



Arrangement Q

Computed, not measured: Tm4ZnCo after structural relaxation at the PBE level of DFT.

It has space group C2/m (No. 12), with a = 6.662 Å, b = 6.662 Å, c = 6.874 Å, α = 90.00°, β = 90.18° and γ = 90.00°. The distinct sites, in fractional coordinates, are Tm at (0.249, 0.250, 0.231), Zn at (0.000, 0.000, 0.500) and Co at (0.000, 0.500, 0.000).

The density of states at the Fermi level is 16.08 states/eV per cell.



Energy ordering: arrangement P at the bottom, the next structure 222 meV/atom above.



Arrangement P

Computed, not measured: Tm3Zn2Co after structural relaxation at the PBE level of DFT.

It has space group P2_1/m (No. 11), with a = 4.928 Å, b = 6.949 Å, c = 7.998 Å, α = 90.00°, β = 108.04° and γ = 90.00°. The distinct sites, in fractional coordinates, are Tm at (0.001, 0.250, 0.000), Tm at (0.361, 0.000, 0.722), Zn at (0.198, 0.250, 0.395), Zn at (0.198, 0.750, 0.395) and Co at (0.499, 0.750, 0.000).

The density of states at the Fermi level is 9.59 states/eV per cell.



Arrangement Q

Computed, not measured: Tm3Zn2Co after structural relaxation at the PBE level of DFT.

It has space group Pnma (No. 62), with a = 11.685 Å, b = 4.314 Å, c = 10.237 Å, α = 90.00°, β = 90.00° and γ = 90.00°. The distinct sites, in fractional coordinates, are Tm at (0.056, 0.250, 0.116), Tm at (0.109, 0.750, 0.558), Tm at (0.240, 0.250, 0.787), Zn at (0.008, 0.750, 0.297), Zn at (0.201, 0.750, 0.992) and Co at (0.118, 0.250, 0.368).

The density of states at the Fermi level is 21.94 states/eV per cell.



Energy ordering: arrangement Q at the bottom, the next structure 69 meV/atom above.



Arrangement P

Computed, not measured: Tm2ZrCo after structural relaxation at the PBE level of DFT.

It has space group P4/mmm (No. 123), with a = 3.332 Å, b = 3.332 Å, c = 7.977 Å, α = 90.00°, β = 90.00° and γ = 90.00°. The distinct sites, in fractional coordinates, are Tm at (0.000, 0.000, 0.201), Zr at (0.500, 0.500, 0.500) and Co at (0.500, 0.500, 0.000).

The density of states at the Fermi level is 4.71 states/eV per cell.



Arrangement Q

Computed, not measured: Tm2ZrCo after structural relaxation at the PBE level of DFT.

It has space group R-3m (No. 166, hexagonal axes), with a = 3.2818 Å, b = 3.2818 Å, c = 30.2340 Å, α = 90.00°, β = 90.00° and γ = 120.00°. The distinct sites, in fractional coordinates, are Tm at (0.0000, 0.0000, 0.1053), Zr at (0.0000, 0.0000, 0.0000) and Co at (0.0000, 0.0000, 0.5000).

The density of states at the Fermi level is 18.63 states/eV per cell.



Arrangement R

Computed, not measured: Tm2ZrCo after structural relaxation at the PBE level of DFT.

It has space group Pnma (No. 62), with a = 6.593 Å, b = 9.115 Å, c = 6.087 Å, α = 90.00°, β = 90.00° and γ = 90.00°. The distinct sites, in fractional coordinates, are Tm at (0.180, 0.065, 0.178), Zr at (0.043, 0.250, 0.642) and Co at (0.115, 0.750, 0.975).

The density of states at the Fermi level is 17.71 states/eV per cell.



Energy ordering: arrangement R at the bottom, the next structure 115 meV/atom above.



Arrangement P

Computed, not measured: UCo4 after structural relaxation at the PBE level of DFT.

It has space group Pm-3m (No. 221), with a = 4.466 Å, b = 4.466 Å, c = 4.466 Å, α = 90.00°, β = 90.00° and γ = 90.00°. The distinct sites, in fractional coordinates, are U at (0.000, 0.000, 0.000), Co at (0.000, 0.000, 0.500) and Co at (0.500, 0.500, 0.500).

The density of states at the Fermi level is 6.15 states/eV per cell.



Arrangement Q

Computed, not measured: UCo4 after structural relaxation at the PBE level of DFT.

It has space group Imma (No. 74), with a = 3.937 Å, b = 5.179 Å, c = 12.577 Å, α = 90.00°, β = 90.00° and γ = 90.00°. The distinct sites, in fractional coordinates, are U at (0.000, 0.250, 0.110), Co at (0.000, 0.000, 0.500), Co at (0.000, 0.018, 0.697) and Co at (0.000, 0.250, 0.891).

The density of states at the Fermi level is 20.87 states/eV per cell.



Energy ordering: arrangement Q at the bottom, the next structure 1511 meV/atom above.



Arrangement P

Computed, not measured: U4Co after structural relaxation at the PBE level of DFT.

It has space group Pm-3m (No. 221), with a = 4.901 Å, b = 4.901 Å, c = 4.901 Å, α = 90.00°, β = 90.00° and γ = 90.00°. The distinct sites, in fractional coordinates, are U at (0.000, 0.000, 0.000), U at (0.000, 0.500, 0.500) and Co at (0.500, 0.500, 0.500).

The density of states at the Fermi level is 23.77 states/eV per cell.



Arrangement Q

Computed, not measured: U4Co after structural relaxation at the PBE level of DFT.

It has space group Fd-3m (No. 227, origin choice 2), with a = 9.616 Å, b = 9.616 Å, c = 9.616 Å, α = 90.00°, β = 90.00° and γ = 90.00°. The distinct sites, in fractional coordinates, are U at (0.023, 0.023, 0.227) and Co at (0.125, 0.125, 0.625).

The density of states at the Fermi level is 120.79 states/eV per cell.



Energy ordering: arrangement Q at the bottom, the next structure 151 meV/atom above.



Arrangement P

Computed, not measured: UCoW after structural relaxation at the PBE level of DFT.

It has space group P4/nmm (No. 129, origin choice 2), with a = 2.715 Å, b = 2.715 Å, c = 12.771 Å, α = 90.00°, β = 90.00° and γ = 90.00°. The distinct sites, in fractional coordinates, are U at (0.250, 0.250, 0.102), Co at (0.250, 0.250, 0.439) and W at (0.250, 0.250, 0.699).

The density of states at the Fermi level is 7.59 states/eV per cell.



Arrangement Q

Computed, not measured: UCoW after structural relaxation at the PBE level of DFT.

It has space group I4mm (No. 107), with a = 2.772 Å, b = 2.772 Å, c = 12.490 Å, α = 90.00°, β = 90.00° and γ = 90.00°. The distinct sites, in fractional coordinates, are U at (0.000, 0.000, 0.000), Co at (0.000, 0.000, 0.665) and W at (0.000, 0.000, 0.300).

The density of states at the Fermi level is 9.09 states/eV per cell.



Energy ordering: arrangement Q at the bottom, the next structure 27 meV/atom above.



Arrangement P

Computed, not measured: YUCo4 after structural relaxation at the PBE level of DFT.

It has space group F-43m (No. 216), with a = 7.052 Å, b = 7.052 Å, c = 7.052 Å, α = 90.00°, β = 90.00° and γ = 90.00°. The distinct sites, in fractional coordinates, are Y at (0.000, 0.000, 0.000), U at (0.250, 0.250, 0.250) and Co at (0.125, 0.125, 0.625).

The density of states at the Fermi level is 40.71 states/eV per cell.



Arrangement Q

Computed, not measured: YUCo4 after structural relaxation at the PBE level of DFT.

It has space group C2/m (No. 12), with a = 9.627 Å, b = 6.058 Å, c = 6.854 Å, α = 90.00°, β = 111.97° and γ = 90.00°. The distinct sites, in fractional coordinates, are Y at (0.198, 0.000, 0.305), U at (0.028, 0.500, 0.255), Co at (0.000, 0.201, 0.500), Co at (0.105, 0.216, 0.920) and Co at (0.239, 0.000, 0.751).

The density of states at the Fermi level is 25.31 states/eV per cell.



Energy ordering: arrangement P at the bottom, the next structure 13 meV/atom above.



Arrangement P

Computed, not measured: ZrU2Co9 after structural relaxation at the PBE level of DFT.

It has space group R-3m (No. 166, hexagonal axes), with a = 4.7805 Å, b = 4.7805 Å, c = 24.2930 Å, α = 90.00°, β = 90.00° and γ = 120.00°. The distinct sites, in fractional coordinates, are Zr at (0.0000, 0.0000, 0.0000), U at (0.0000, 0.0000, 0.1398), Co at (0.0000, 0.0000, 0.3331), Co at (0.0000, 0.0000, 0.5000) and Co at (0.0009, 0.5005, 0.0817).

The density of states at the Fermi level is 56.18 states/eV per cell.



Arrangement Q

Computed, not measured: ZrU2Co9 after structural relaxation at the PBE level of DFT.

It has space group P4/mmm (No. 123), with a = 3.752 Å, b = 3.752 Å, c = 11.190 Å, α = 90.00°, β = 90.00° and γ = 90.00°. The distinct sites, in fractional coordinates, are Zr at (0.000, 0.000, 0.000), U at (0.000, 0.000, 0.330), Co at (0.000, 0.500, 0.171), Co at (0.000, 0.500, 0.500), Co at (0.500, 0.500, 0.000) and Co at (0.500, 0.500, 0.335).

The density of states at the Fermi level is 7.60 states/eV per cell.



Energy ordering: arrangement Q at the bottom, the next structure 58 meV/atom above.